Here is a relaxed structure of MnTlRe2 from Alexandria. Energies are from PBEsol.

DFT formation energy	2.98	eV/f.u.
space-group type	I4/mmm (139)
energy above the most stable polymorph in this dataset	155	meV per atom
V	15.24	Å³/atom

abc: 4.9438 4.9438 4.9438
angles: 134.28 134.28 66.66
Fractional coordinates of all 4 atoms:
Mn 0.0000 0.0000 0.0000
Tl 0.5000 0.5000 0.0000
Re 0.2500 0.7500 0.5000
Re 0.7500 0.2500 0.5000